1.
SiTeN2F: relaxed, PBE.

a b c (Å): 4.161 4.161 4.185
angles (deg): 90.00 90.00 90.00
Fractional positions:
F 0.000 0.000 0.500
Si 0.500 0.500 0.500
N 0.000 0.500 0.000
N 0.500 0.000 0.000
Te 0.000 0.000 0.000

## Properties
The calculation puts the polymorph energy (0 for the lowest one) at 941.7 meV per atom. Its crystal system is tetragonal. Its magnetic moment is 0.00 μB per formula unit. As for the formation energy (no corrections): 4.68 eV/f.u. For the electronic total energy, the calculation gives -4.48 eV/atom. Its density of states at the Fermi level is 2.8 states/eV/f.u.


2.
BaSiHg: relaxed, PBE.

a b c (Å): 11.877 4.429 4.429
angles (deg): 124.75 79.04 100.96
Fractional positions:
Si 0.607 0.825 0.529
Si 0.608 0.155 0.199
Ba 0.403 0.424 0.930
Ba 0.811 0.557 0.797
Hg 0.182 0.041 0.313
Hg 0.033 0.310 0.045

## Properties
Its crystal system is monoclinic. Its magnetic moment is 0.00 μB per formula unit. As for the formation energy (no corrections): -0.99 eV/f.u. For the electronic total energy, the calculation gives -2.88 eV/atom. Its density of states at the Fermi level is 2.1 states/eV/f.u.


3.
TlInS2N: relaxed, PBE.

a b c (Å): 5.279 5.279 4.311
angles (deg): 90.00 90.00 90.00
Last column: magnetic moment on the atom in μB.
Fractional positions:
In 0.000 0.000 0.000  -0.02
N 0.000 0.000 0.500  1.17
S 0.500 0.000 0.000  0.36
S 0.000 0.500 0.000  0.36
Tl 0.500 0.500 0.500  0.06

## Properties
The calculation puts the polymorph energy (0 for the lowest one) at 0.0 meV per atom. Its crystal system is tetragonal. Its magnetic moment is 2.93 μB per formula unit. As for the formation energy (no corrections): 3.21 eV/f.u. For the electronic total energy, the calculation gives -3.70 eV/atom. Its density of states at the Fermi level is 4.9 states/eV/f.u.


4.
ScAgI2N: relaxed, PBE.

a b c (Å): 5.931 5.931 3.983
angles (deg): 90.00 90.00 90.00
Last column: magnetic moment on the atom in μB.
Fractional positions:
N 0.000 0.000 0.500  0.66
I 0.000 0.500 0.000  0.04
I 0.500 0.000 0.000  0.04
Sc 0.000 0.000 0.000  -0.01
Ag 0.500 0.500 0.500  0.00

## Properties
The calculation puts the polymorph energy (0 for the lowest one) at 0.0 meV per atom. Its crystal system is tetragonal. Its magnetic moment is 1.04 μB per formula unit. As for the formation energy (no corrections): -0.37 eV/f.u. For the electronic total energy, the calculation gives -4.20 eV/atom. Its density of states at the Fermi level is 1.8 states/eV/f.u.


5.
Pr5Tl4Cu: relaxed, PBE.

a b c (Å): 3.718 3.718 21.061
angles (deg): 90.00 90.00 90.00
Fractional positions:
Tl 0.000 0.000 0.813
Tl 0.000 0.000 0.187
Tl 0.000 0.000 0.604
Tl 0.000 0.000 0.396
Pr 0.500 0.500 0.292
Pr 0.500 0.500 0.084
Pr 0.500 0.500 0.500
Pr 0.500 0.500 0.916
Pr 0.500 0.500 0.708
Cu 0.000 0.000 0.000

## Properties
Its crystal system is tetragonal. The value obtained for the energy of formation is -3.42 eV per formula unit. Its magnetic moment is 0.16 μB per formula unit. For the electronic total energy, the calculation gives -4.09 eV/atom. Its density of states at the Fermi level is 8.6 states/eV/f.u.


6.
LiMg2Te: relaxed, PBE.

a b c (Å): 5.916 5.916 5.916
angles (deg): 138.70 137.59 60.68
Fractional positions:
Te 0.750 0.250 0.500
Mg 0.508 0.508 0.000
Mg 0.992 0.992 0.000
Li 0.250 0.750 0.500

## Properties
Its crystal system is orthorhombic. Its magnetic moment is 0.00 μB per formula unit. As for the formation energy (no corrections): -1.24 eV/f.u. For the electronic total energy, the calculation gives -2.37 eV/atom. Its density of states at the Fermi level is 1.2 states/eV/f.u.